# Ba2FeAgF

A relaxed structure of Ba2FeAgF (GGA+U, Alexandria via LeMat-Bulk).

Values from the calculation:
The calculation puts the density of states at the Fermi level at 2.49 states/eV per cell. The value obtained for the total moment is 2.646 μB per cell. The value obtained for the total energy is -3.09 eV/atom. The calculation puts the calculated volume at 38.0 A^3/atom.

a b c (Å): 6.2875 6.2875 4.8084
angles (deg): 90.00 90.00 90.00
With the nearest neighbours (Å) after each atom.
Space group P4/mmm (No. 123)
Asymmetric unit:
1 Ba 0.0000 0.5000 0.0000 [2 per cell]  2 Fe 3.14
2 Fe 0.0000 0.0000 0.0000 [1 per cell]  2 Ag 2.40
3 Ag 0.0000 0.0000 0.5000 [1 per cell]  2 Fe 2.40
4 F 0.5000 0.5000 0.5000 [1 per cell]  8 Ba 3.96

# BaFeAgF6

A relaxed structure of BaFeAgF6 (GGA+U, Alexandria via LeMat-Bulk).

Values from the calculation:
The calculation puts the density of states at the Fermi level at 0.00 states/eV per cell. The value obtained for the total moment is 2.265 μB per cell. The value obtained for the total energy is -4.78 eV/atom. The calculation puts the calculated volume at 17.5 A^3/atom.

a b c (Å): 5.8851 10.2095 5.2318
angles (deg): 90.00 90.03 90.00
With the nearest neighbours (Å) after each atom.
Space group C2 (No. 5)
Asymmetric unit:
1 Ba 0.0000 0.0000 0.0000 [2 per cell]  6 F 2.65
2 Fe 0.0000 0.6667 0.5000 [2 per cell]  6 F 1.92
3 Ag 0.0000 0.3337 0.5000 [2 per cell]  6 F 2.45
4 F 0.1315 0.8014 0.2920 [4 per cell]  1 Fe 1.92
5 F 0.1360 0.5335 0.2920 [4 per cell]  1 Fe 1.92
6 F 0.2313 0.1651 0.2928 [4 per cell]  1 Fe 1.92

Q: The lowest total moment belongs to which entry?
A: BaFeAgF6

Q: calculated volume of number 2 (BaFeAgF6)?
A: 17.5 A^3/atom

Q: Look up the calculated volume of the second one.
A: 17.5 A^3/atom

Repeat the first record exactly.
# Ba2FeAgF

A relaxed structure of Ba2FeAgF (GGA+U, Alexandria via LeMat-Bulk).

Values from the calculation:
The calculation puts the density of states at the Fermi level at 2.49 states/eV per cell. The value obtained for the total moment is 2.646 μB per cell. The value obtained for the total energy is -3.09 eV/atom. The calculation puts the calculated volume at 38.0 A^3/atom.

a b c (Å): 6.2875 6.2875 4.8084
angles (deg): 90.00 90.00 90.00
With the nearest neighbours (Å) after each atom.
Space group P4/mmm (No. 123)
Asymmetric unit:
1 Ba 0.0000 0.5000 0.0000 [2 per cell]  2 Fe 3.14
2 Fe 0.0000 0.0000 0.0000 [1 per cell]  2 Ag 2.40
3 Ag 0.0000 0.0000 0.5000 [1 per cell]  2 Fe 2.40
4 F 0.5000 0.5000 0.5000 [1 per cell]  8 Ba 3.96